[1]
DFT (meta-GGA SCAN) results for BaNb3Ru at its PBEsol-relaxed geometry.

Values from the calculation:
Energy of formation = 2.988 eV/atom
DFT total energy = -31.765 eV/atom
Symmetry = Pm-3m (221)
Volume = 23.8 Å³ per atom
N(E_F) = 4.36 states/eV/cell

POSCAR file:
```
BaNb3Ru
1.0
4.919 0.000 0.000
0.000 4.919 0.000
0.000 0.000 4.919
Ru Nb Ba
1 3 1
Cartesian
2.460 2.460 2.460
0.000 2.460 0.000
0.000 0.000 2.460
2.460 0.000 0.000
0.000 0.000 0.000
```

***

[2]
DFT (meta-GGA SCAN) results for BaNb2TcRu at its PBEsol-relaxed geometry.

Values from the calculation:
Energy of formation = 0.935 eV/atom
DFT total energy = -34.204 eV/atom
Symmetry = P4/mmm (123)
Volume = 22.8 Å³ per atom
N(E_F) = 5.59 states/eV/cell

POSCAR file:
```
BaNb2TcRu
1.0
-1.119 4.696 0.585
-2.615 -1.114 3.946
3.917 0.589 2.762
Ru Nb Ba Tc
1 2 1 1
Cartesian
1.959 0.295 1.381
-1.307 -0.557 1.973
-0.559 2.348 0.292
0.092 2.086 3.646
0.000 0.000 0.000
```

***

[3]
DFT (meta-GGA SCAN) results for Ba8Nb7S24 at its PBEsol-relaxed geometry.

Values from the calculation:
DFT total energy = -21.636 eV/atom
Symmetry = P2_1/c (14)
Volume = 23.2 Å³ per atom
E_form (uncorrected) = -159 kJ/mol of atoms
N(E_F) = 9.41 states/eV/cell

POSCAR file:
```
Ba8Nb7S24
1.0
-8.204 2.699 -1.489
-2.838 -10.713 -3.779
-1.668 -5.528 16.923
Ba Nb S
16 14 48
Cartesian
-8.449 -2.280 0.504
-3.912 -1.899 1.978
-8.035 -9.059 1.270
-4.784 -4.891 5.625
-3.435 -8.618 2.527
-8.330 -1.783 5.467
-4.380 -11.759 6.188
-9.275 -4.924 9.127
-7.925 -8.651 6.030
-8.797 -11.643 9.676
-4.675 -4.483 10.384
-4.261 -11.262 11.150
-5.567 -7.802 14.000
-9.288 -4.674 13.917
-3.422 -8.868 -2.263
-7.143 -5.740 -2.346
-3.446 -5.321 -0.442
-0.602 -1.357 4.122
-5.781 -5.518 1.668
-8.285 -5.334 3.236
-5.744 -12.148 2.496
-2.253 -8.120 6.572
-4.425 -8.208 8.418
-12.108 -12.185 7.532
-6.966 -1.394 9.159
-9.264 -8.221 12.097
-6.929 -8.024 9.986
-3.603 -4.111 14.325
-4.102 1.349 -0.745
-9.106 -9.432 -2.670
-1.902 -7.017 -0.020
-9.837 -7.600 -1.231
-8.266 -5.661 0.859
-6.786 -9.161 -2.042
-6.802 -0.335 2.800
-5.272 -7.213 0.063
-6.603 -3.573 3.065
-4.954 -1.644 5.181
-5.170 -10.483 0.371
-3.545 -5.199 2.313
-6.384 -7.034 3.445
-2.053 -3.222 4.472
-6.123 -10.255 3.737
-1.911 -6.449 4.751
-4.609 -8.321 5.906
-11.419 -9.209 1.335
-3.084 -3.070 7.856
-2.867 -6.282 8.107
-9.843 -7.260 3.548
-1.290 -4.333 10.320
-9.625 -10.472 3.798
-8.101 -5.221 5.749
-10.799 -7.093 6.904
-6.587 -3.287 7.917
-10.656 -10.320 7.182
-9.164 -8.343 9.341
-6.326 -6.508 8.210
-7.539 -3.060 11.284
-7.756 -11.898 6.473
-7.438 -6.329 11.592
-6.107 -9.969 8.590
-5.924 -4.382 13.696
-5.907 -13.208 8.854
-4.444 -7.881 10.795
-7.191 -9.698 11.819
-7.011 -13.018 12.173
-2.873 -5.942 12.886
-10.808 -6.525 11.675
-5.433 -11.097 14.235
-3.884 -5.752 16.218
-12.246 -11.945 9.928
-2.077 -3.480 -0.367
-10.633 -10.062 12.021
-0.464 -1.597 1.726
-8.826 -7.790 -4.564
-7.276 -2.445 -2.580
-5.699 -0.524 -0.519
-5.518 -3.844 -0.164
```

***

[4]
DFT (meta-GGA SCAN) results for Ba6Nb5S17 at its PBEsol-relaxed geometry.

Values from the calculation:
DFT total energy = -21.899 eV/atom
Symmetry = P1 (1)
Volume = 23.9 Å³ per atom
E_form (uncorrected) = -160 kJ/mol of atoms
N(E_F) = 5.67 states/eV/cell

POSCAR file:
```
Ba6Nb5S17
1.0
8.716 -0.009 -0.037
1.201 8.755 0.030
0.897 0.897 8.776
Ba Nb S
6 5 17
Cartesian
3.760 8.462 5.208
1.948 4.285 6.552
6.168 3.068 7.843
4.588 6.410 0.760
8.884 5.411 2.260
7.127 1.176 3.665
1.285 8.668 0.051
1.599 1.941 1.498
7.201 6.467 5.689
5.150 4.582 4.254
8.926 8.069 7.391
1.392 2.569 3.695
2.320 8.330 2.273
3.150 5.477 3.604
2.469 7.248 8.200
4.958 5.761 6.517
2.876 3.651 0.655
4.448 2.551 5.081
3.258 1.520 8.222
6.713 8.724 6.679
7.646 8.247 0.822
6.267 7.127 3.581
8.085 5.882 8.046
6.003 3.889 2.186
8.215 2.302 0.611
7.623 4.167 5.104
8.830 1.392 6.519
9.493 7.125 5.109
```

***

[5]
DFT (meta-GGA SCAN) results for BaNbS2 at its PBEsol-relaxed geometry.

Values from the calculation:
DFT total energy = -24.105 eV/atom
Symmetry = I-42d (122)
Volume = 28.7 Å³ per atom
E_form (uncorrected) = -108 kJ/mol of atoms
N(E_F) = 4.70 states/eV/cell

POSCAR file:
```
BaNbS2
1.0
-0.362 -0.748 -5.862
-5.779 -1.183 0.507
1.703 7.331 1.949
S Nb Ba
4 2 2
Cartesian
-4.808 0.432 -1.933
-2.017 0.819 -3.785
-0.147 5.122 0.850
-1.903 4.426 -1.942
-0.864 2.808 -3.295
-3.070 -0.966 -2.677
-3.573 2.591 -0.110
0.000 0.000 0.000
```

***

[6]
DFT (meta-GGA SCAN) results for BaNbTlSb2 at its PBEsol-relaxed geometry.

Values from the calculation:
DFT total energy = -42.924 eV/atom
Symmetry = P4/mmm (123)
Volume = 37.5 Å³ per atom
E_form (uncorrected) = 95 kJ/mol of atoms
N(E_F) = 4.58 states/eV/cell

POSCAR file:
```
BaNbTlSb2
1.0
-2.363 -4.483 2.394
2.995 -3.362 -3.338
4.372 -0.136 4.061
Sb Tl Ba Nb
2 1 1 1
Cartesian
1.498 -1.681 -1.669
-1.182 -2.241 1.197
0.000 0.000 0.000
2.186 -0.068 2.030
2.502 -3.990 1.558
```

***

[7]
DFT (meta-GGA SCAN) results for Ba4Nb3Se12 at its PBEsol-relaxed geometry.

Values from the calculation:
DFT total energy = -27.619 eV/atom
Symmetry = C2/m (12)
Volume = 26.0 Å³ per atom
Distance to the lowest polymorph of the same formula = 0 meV per atom
E_form (uncorrected) = -133 kJ/mol of atoms
N(E_F) = 7.88 states/eV/cell

POSCAR file:
```
Ba4Nb3Se12
1.0
-0.329 6.399 -2.418
-1.238 0.175 -9.068
-8.622 3.095 -0.332
Ba Nb Se
4 3 12
Cartesian
-2.551 4.994 -5.832
-7.462 6.609 -10.588
-2.728 3.060 -1.229
-7.639 4.675 -5.985
0.000 0.000 0.000
-3.296 0.994 -6.619
-6.894 8.675 -5.198
-2.900 6.241 -2.486
-7.798 7.832 -7.305
-5.201 6.957 -4.845
-1.623 5.534 -9.130
-5.046 3.943 -3.707
-1.467 2.499 -7.983
-2.392 1.837 -4.512
-7.289 3.428 -9.331
-8.567 4.134 -2.688
-4.989 2.712 -6.972
-8.723 7.169 -3.834
-5.144 5.726 -8.110
```

***

[8]
DFT (meta-GGA SCAN) results for Ba4Nb3Se12 at its PBEsol-relaxed geometry.

Values from the calculation:
DFT total energy = -27.565 eV/atom
Symmetry = P2/m (10)
Volume = 25.8 Å³ per atom
Distance to the lowest polymorph of the same formula = 54 meV per atom
E_form (uncorrected) = -128 kJ/mol of atoms
N(E_F) = 11.04 states/eV/cell

POSCAR file:
```
Ba4Nb3Se12
1.0
-0.939 -0.284 5.790
-6.115 -2.846 -1.131
5.130 -11.079 0.139
Ba Nb Se
4 3 12
Cartesian
-2.971 -3.360 3.839
2.808 -7.808 4.463
1.383 -3.554 1.466
1.047 -10.849 0.959
-0.962 -7.104 2.399
0.000 0.000 0.000
-0.493 -6.962 -0.496
-1.631 -5.072 0.903
4.015 -9.260 1.592
-4.340 -3.108 0.698
1.366 -7.238 1.280
-1.409 -1.745 1.240
-1.926 -8.770 0.671
0.176 -2.102 4.337
-0.293 -9.137 3.894
-3.290 -6.971 3.518
2.415 -11.100 4.100
0.002 -5.439 4.127
-0.515 -12.464 3.558
```

***

We obtain calculated density values of 7.21 7.59 4.62 4.55 4.26 6.01 5.97 6.01 g cm⁻³ for the records listed above, in that order.